Entry 1:
# LiHo2Co

Crystalline LiHo2Co at its relaxed geometry (PBE, Alexandria).

total magnetic moment	0.50	μB/cell
symmetry	No. 123
energy of formation from the pure elements	-0.08	eV/atom

```
LiHo2Co
1.0
3.3538 0.0000 0.0000
0.0000 3.3538 0.0000
0.0000 0.0000 7.9684
Li Ho Co
1 2 1
Cartesian
0.0000 0.0000 0.0000 Li
1.6769 1.6769 2.3807 Ho
1.6769 1.6769 5.5877 Ho
0.0000 0.0000 3.9842 Co
```



Entry 2:
# AlSN2O

Crystalline AlSN2O at its relaxed geometry (PBE, Alexandria).

total magnetic moment	0.00	μB/cell
ΔE_f (raw)	0.84	eV per atom
symmetry	No. 123

```
AlSN2O
1.0
3.5801 0.0000 0.0000
0.0000 3.5801 0.0000
0.0000 0.0000 3.5245
Al S N O
1 1 2 1
Cartesian
0.0000 0.0000 0.0000 Al
1.7900 1.7900 1.7623 S
0.0000 1.7900 1.7623 N
1.7900 0.0000 1.7623 N
1.7900 1.7900 0.0000 O
```



| no. | calculated volume (Å³ per cell) | total DFT energy (no corrections) (eV for the cell shown) |
| --- | --- | --- |
| 1 | 89.6 | -18.51 |
| 2 | 45.2 | -25.29 |